Crystalline Ta2NiSe5 at its relaxed geometry, computed with PBEsol.

Cell: 3.4317 6.7388 15.5142 Å, 90.00 90.00 104.75°
Last column: nearest neighbours and their distance in Å.
Element x y z (fractional)
1 Ta 0.7776 0.5552 0.3904  6 Se 2.55-2.66, 2 Ni 2.78
2 Ta 0.7776 0.5552 0.1096  6 Se 2.55-2.66, 2 Ni 2.78
3 Ta 0.2224 0.4448 0.6096  6 Se 2.55-2.66, 2 Ni 2.78
4 Ta 0.2224 0.4448 0.8904  6 Se 2.55-2.66, 2 Ni 2.78
5 Ni 0.2974 0.5948 0.2500  4 Se 2.32-2.36
6 Ni 0.7026 0.4052 0.7500  4 Se 2.32-2.36
7 Se 0.4178 0.8356 0.3602  1 Ni 2.32, 2 Ta 2.55
8 Se 0.4178 0.8356 0.1398  1 Ni 2.32, 2 Ta 2.55
9 Se 0.5822 0.1644 0.6398  1 Ni 2.32, 2 Ta 2.55
10 Se 0.5822 0.1644 0.8602  1 Ni 2.32, 2 Ta 2.55
11 Se 0.8549 0.7098 0.5489  3 Ta 2.61-2.66
12 Se 0.8549 0.7098 0.9511  3 Ta 2.61-2.66
13 Se 0.1451 0.2902 0.4511  3 Ta 2.61-2.66
14 Se 0.1451 0.2902 0.0489  3 Ta 2.61-2.66
15 Se 0.6736 0.3472 0.2500  2 Ni 2.36, 2 Ta 2.57
16 Se 0.3264 0.6528 0.7500  2 Ni 2.36, 2 Ta 2.57

Output
E_form (uncorrected): -742.6 meV per atom
Volume: 21.68 Å³/atom
Energy: -7.06 eV/atom



Crystalline TaNi2Se at its relaxed geometry, computed with PBEsol.

Cell: 3.0515 4.1856 4.9500 Å, 115.01 107.95 90.00°
Last column: nearest neighbours and their distance in Å.
Element x y z (fractional)
1 Ni 0.7670 0.7670 0.5340  2 Se 2.49, 4 Ni 2.61, 2 Ta 2.72
2 Ni 0.2330 0.2330 0.4660  2 Se 2.49, 4 Ni 2.61, 2 Ta 2.72
3 Se 0.5000 0.0000 0.0000  4 Ni 2.49, 4 Ta 2.59
4 Ta 0.0000 0.5000 0.0000  4 Se 2.59, 8 Ni 2.72-2.87

Output
E_form (uncorrected): -50.7 meV per atom
Volume: 13.47 Å³/atom
Energy: -7.23 eV/atom



Crystalline Ta2Ni3Se8 at its relaxed geometry, computed with PBEsol.

Cell: 3.4333 10.4975 14.6872 Å, 90.00 90.00 90.00°
Last column: nearest neighbours and their distance in Å.
Element x y z (fractional)
1 Ta 0.5000 0.8055 0.8782  6 Se 2.53-2.59
2 Ta 0.5000 0.1945 0.1218  6 Se 2.53-2.59
3 Ta 0.5000 0.3055 0.6218  6 Se 2.53-2.59
4 Ta 0.5000 0.6945 0.3782  6 Se 2.53-2.59
5 Ni 0.0000 0.0000 0.0000  4 Se 2.31
6 Ni 0.0000 0.5000 0.5000  4 Se 2.31
7 Ni 0.0000 0.6435 0.7740  5 Se 2.34-2.41
8 Ni 0.0000 0.3565 0.2260  5 Se 2.34-2.41
9 Ni 0.0000 0.1435 0.7260  5 Se 2.34-2.41
10 Ni 0.0000 0.8565 0.2740  5 Se 2.34-2.41
11 Se 0.0000 0.7800 0.0075  1 Ni 2.31, 2 Ta 2.57
12 Se 0.0000 0.2200 0.9925  1 Ni 2.31, 2 Ta 2.57
13 Se 0.0000 0.2800 0.4925  1 Ni 2.31, 2 Ta 2.57
14 Se 0.0000 0.7200 0.5075  1 Ni 2.31, 2 Ta 2.57
15 Se 0.0000 0.9830 0.8430  2 Ni 2.31-2.41, 2 Ta 2.59
16 Se 0.0000 0.0170 0.1570  2 Ni 2.31-2.41, 2 Ta 2.59
17 Se 0.0000 0.4830 0.6570  2 Ni 2.31-2.41, 2 Ta 2.59
18 Se 0.0000 0.5170 0.3430  2 Ni 2.31-2.41, 2 Ta 2.59
19 Se 0.5000 0.7658 0.7085  2 Ni 2.35, 1 Ta 2.53
20 Se 0.5000 0.2342 0.2915  2 Ni 2.35, 1 Ta 2.53
21 Se 0.5000 0.2658 0.7915  2 Ni 2.35, 1 Ta 2.53
22 Se 0.5000 0.7342 0.2085  2 Ni 2.35, 1 Ta 2.53
23 Se 0.5000 0.5636 0.8666  2 Ni 2.34, 1 Ta 2.55
24 Se 0.5000 0.4364 0.1334  2 Ni 2.34, 1 Ta 2.55
25 Se 0.5000 0.0636 0.6334  2 Ni 2.34, 1 Ta 2.55
26 Se 0.5000 0.9364 0.3666  2 Ni 2.34, 1 Ta 2.55

Output
E_form (uncorrected): -606.3 meV per atom
Volume: 20.36 Å³/atom
Energy: -6.33 eV/atom



Crystalline Ta2NiSe at its relaxed geometry, computed with PBEsol.

Cell: 3.7362 3.7362 5.1385 Å, 111.32 111.32 90.00°
Last column: nearest neighbours and their distance in Å.
Element x y z (fractional)
1 Ni 0.5000 0.5000 0.0000  8 Ta 2.64-2.89, 4 Se 2.89
2 Se 0.2500 0.7500 0.5000  8 Ta 2.64-2.89, 4 Ni 2.89
3 Ta 0.0000 0.0000 0.0000  4 Ni 2.64, 4 Ta 2.89, 4 Se 2.89
4 Ta 0.7500 0.2500 0.5000  4 Se 2.64, 4 Ni 2.89, 4 Ta 2.89

Output
E_form (uncorrected): 118.3 meV per atom
Volume: 15.38 Å³/atom
Energy: -8.66 eV/atom



Crystalline TaNi2Se at its relaxed geometry, computed with PBEsol.

Cell: 3.6921 3.6921 4.7427 Å, 112.91 112.91 90.00°
Last column: nearest neighbours and their distance in Å.
Element x y z (fractional)
1 Ni 0.7500 0.2500 0.5000  4 Ni 2.61, 4 Ta 2.71, 4 Se 2.71
2 Ni 0.2500 0.7500 0.5000  4 Ni 2.61, 4 Se 2.71, 4 Ta 2.71
3 Se 0.5000 0.5000 0.0000  4 Ta 2.61, 8 Ni 2.71
4 Ta 0.0000 0.0000 0.0000  4 Se 2.61, 8 Ni 2.71

Output
E_form (uncorrected): 53.8 meV per atom
Volume: 13.49 Å³/atom
Energy: -7.13 eV/atom



Crystalline Ta2NiSe at its relaxed geometry, computed with PBEsol.

Cell: 4.2690 4.4818 4.2690 Å, 61.56 90.00 118.44°
Last column: nearest neighbours and their distance in Å.
Element x y z (fractional)
1 Ni 0.5000 0.0000 0.5000  8 Ta 2.70, 4 Se 3.02
2 Se 0.0000 0.0000 0.0000  8 Ta 2.70, 4 Ni 3.02
3 Ta 0.2500 0.5000 0.2500  4 Se 2.70, 4 Ni 2.70, 4 Ta 3.02
4 Ta 0.7500 0.5000 0.7500  4 Ni 2.70, 4 Se 2.70, 4 Ta 3.02

Output
E_form (uncorrected): -41.8 meV per atom
Volume: 15.09 Å³/atom
Energy: -8.82 eV/atom



Crystalline Ta2NiSe at its relaxed geometry, computed with PBEsol.

Cell: 2.9939 2.9939 6.7561 Å, 90.00 90.00 89.93°
Last column: nearest neighbours and their distance in Å.
Element x y z (fractional)
1 Ni 0.5000 0.5000 0.5000  8 Ta 2.69, 4 Ni 2.99
2 Se 0.5000 0.5000 0.0000  8 Ta 2.73, 4 Se 2.99
3 Ta 0.0000 0.0000 0.2552  4 Ni 2.69, 4 Se 2.73, 4 Ta 2.99
4 Ta 0.0000 0.0000 0.7448  4 Ni 2.69, 4 Se 2.73, 4 Ta 2.99

Output
E_form (uncorrected): -121.9 meV per atom
Volume: 15.14 Å³/atom
Energy: -8.90 eV/atom



Crystalline Ta2NiSe7 at its relaxed geometry, computed with PBEsol.

Cell: 3.4533 7.1588 17.5293 Å, 84.38 84.35 76.04°
Last column: nearest neighbours and their distance in Å.
Element x y z (fractional)
1 Ni 0.3129 0.1659 0.2082  6 Se 2.38-2.64
2 Ni 0.6871 0.8341 0.7918  6 Se 2.38-2.64
3 Se 0.6336 0.7190 0.0137  3 Ta 2.60-2.70
4 Se 0.3664 0.2810 0.9863  3 Ta 2.60-2.70
5 Se 0.4366 0.8336 0.2931  2 Ta 2.60, 1 Se 2.60, 1 Ni 2.64
6 Se 0.5634 0.1664 0.7069  2 Ta 2.60, 1 Se 2.60, 1 Ni 2.64
7 Se 0.9205 0.0211 0.1380  2 Ni 2.38, 1 Ta 2.48
8 Se 0.0795 0.9789 0.8620  2 Ni 2.38, 1 Ta 2.48
9 Se 0.1561 0.5117 0.1760  1 Ni 2.42, 2 Ta 2.55
10 Se 0.8439 0.4883 0.8240  1 Ni 2.42, 2 Ta 2.55
11 Se 0.4833 0.6128 0.4207  1 Se 2.60, 2 Ta 2.62
12 Se 0.5167 0.3872 0.5793  1 Se 2.60, 2 Ta 2.62
13 Se 0.2030 0.1503 0.4437  3 Ta 2.63-2.73
14 Se 0.7970 0.8497 0.5563  3 Ta 2.63-2.73
15 Se 0.7435 0.2133 0.2996  2 Ni 2.39
16 Se 0.2565 0.7867 0.7004  2 Ni 2.39
17 Ta 0.8528 0.8949 0.3996  8 Se 2.60-2.73
18 Ta 0.1472 0.1051 0.6004  8 Se 2.60-2.73
19 Ta 0.7718 0.3665 0.0899  6 Se 2.48-2.70
20 Ta 0.2282 0.6335 0.9101  6 Se 2.48-2.70

Output
E_form (uncorrected): -627.1 meV per atom
Volume: 20.86 Å³/atom
Energy: -6.45 eV/atom